[1]
A plane-wave DFT calculation with PBE was carried out for crystalline Zn2TeW at its relaxed geometry.

Cell lengths 4.6610, 4.6610, 4.6610 Å; angles 60.00, 60.00, 60.00 degrees
Closest atoms and distances in Å follow each position.
Fractional positions:
1 Te 0.5000 0.5000 0.5000  4 W 2.85, 4 Zn 2.85
2 W 0.7500 0.7500 0.7500  4 Te 2.85, 4 Zn 2.85
3 Zn 0.0000 0.0000 0.0000  4 Zn 2.85, 4 W 2.85
4 Zn 0.2500 0.2500 0.2500  4 Te 2.85, 4 Zn 2.85

Output
- space-group type = F-43m, No. 216
- uncorrected formation energy (meV/atom) = 744

[2]
A plane-wave DFT calculation with PBE was carried out for crystalline Gd2YTe at its relaxed geometry.

Cell lengths 3.9386, 3.9386, 7.7800 Å; angles 90.00, 90.00, 90.00 degrees
Closest atoms and distances in Å follow each position.
Fractional positions:
1 Y 0.5000 0.5000 0.5000  8 Gd 3.52, 2 Te 3.89, 4 Y 3.94
2 Gd 0.0000 0.0000 0.7770  4 Te 3.28, 1 Gd 3.47, 4 Y 3.52
3 Gd 0.0000 0.0000 0.2230  4 Te 3.28, 1 Gd 3.47, 4 Y 3.52
4 Te 0.5000 0.5000 0.0000  8 Gd 3.28

Output
- ΔE to the lowest computed polymorph (meV per atom) = 0
- space-group type = P4/mmm, No. 123
- uncorrected formation energy (meV/atom) = -597